The following is a DFT calculation (PBE) of crystalline H4Pd2Rh at its relaxed geometry.

Calculated values
E above lowest polymorph, eV/f.u.: 0.32

Lattice parameters (Å, degrees): 3.176 3.176 13.998 90.00 90.00 126.65
Atoms (fractional coordinates):
H1 0.000 0.000 0.000
H2 0.000 0.000 0.500
H3 0.338 0.662 0.750
H4 0.390 0.610 0.162
H5 0.390 0.610 0.338
H6 0.610 0.390 0.662
H7 0.610 0.390 0.838
H8 0.662 0.338 0.250
Pd1 0.352 0.648 0.580
Pd2 0.352 0.648 0.920
Pd3 0.648 0.352 0.080
Pd4 0.648 0.352 0.420
Rh1 0.042 0.958 0.750
Rh2 0.958 0.042 0.250

The following is a DFT calculation (PBE) of crystalline H4Pd2Rh at its relaxed geometry.

Calculated values
E above lowest polymorph, eV/f.u.: 0.52

Lattice parameters (Å, degrees): 3.382 3.382 10.383 90.00 90.00 90.00
Atoms (fractional coordinates):
H1 0.000 0.000 0.171
H2 0.000 0.000 0.829
H3 0.000 0.500 0.000
H4 0.000 0.500 0.500
H5 0.500 0.000 0.000
H6 0.500 0.000 0.500
H7 0.500 0.500 0.329
H8 0.500 0.500 0.671
Pd1 0.000 0.000 0.335
Pd2 0.000 0.000 0.665
Pd3 0.500 0.500 0.165
Pd4 0.500 0.500 0.835
Rh1 0.000 0.000 0.000
Rh2 0.500 0.500 0.500

The following is a DFT calculation (PBE) of crystalline H3Pd2Rh at its relaxed geometry.

Calculated values
E above lowest polymorph, eV/f.u.: 0.06

Lattice parameters (Å, degrees): 5.069 5.069 5.775 107.13 107.13 48.16
Atoms (fractional coordinates):
H1 0.073 0.927 0.750
H2 0.357 0.365 0.928
H3 0.365 0.357 0.428
H4 0.635 0.643 0.572
H5 0.643 0.635 0.072
H6 0.927 0.073 0.250
Pd1 0.167 0.167 0.084
Pd2 0.167 0.167 0.584
Pd3 0.833 0.833 0.416
Pd4 0.833 0.833 0.916
Rh1 0.499 0.501 0.750
Rh2 0.501 0.499 0.250

The following is a DFT calculation (PBE) of crystalline H4PdRh2 at its relaxed geometry.

Calculated values
E above lowest polymorph, eV/f.u.: 0.29

Lattice parameters (Å, degrees): 2.756 4.850 4.917 82.46 74.11 89.91
Atoms (fractional coordinates):
H1 0.102 0.209 0.305
H2 0.331 0.140 0.834
H3 0.669 0.860 0.166
H4 0.898 0.791 0.695
Pd1 0.000 0.500 0.500
Rh1 0.277 0.755 0.944
Rh2 0.723 0.245 0.056

Question: The highest E above lowest polymorph belongs to which entry?
Answer: number 2